No. 1
A relaxed Ta2Pd8Au crystal, computed with GGA-PBE.

Cell: 7.1549 7.1549 4.6958 Å, 102.87 102.87 120.24°
Element x y z (fractional)
Ta 0.1913 0.8087 0.0000
Ta 0.8087 0.1913 0.0000
Pd 0.0938 0.0938 0.3069
Pd 0.1711 0.4037 0.8677
Pd 0.2821 0.7179 0.5000
Pd 0.4037 0.1711 0.8677
Pd 0.5963 0.8289 0.1323
Pd 0.7179 0.2821 0.5000
Pd 0.8289 0.5963 0.1323
Pd 0.9062 0.9062 0.6931
Au 0.5000 0.5000 0.5000

Values from the calculation:
- DFT total energy: -6.35 eV/atom
- SG: C2/m, No. 12
- Magnetization: 0.0 μB per cell


No. 2
A relaxed SrY2W crystal, computed with GGA-PBE.

Cell: 3.2636 3.2636 10.9093 Å, 90.00 90.00 97.90°
Element x y z (fractional)
Sr 0.0000 0.0000 0.0000
Y 0.0000 0.0000 0.5846
Y 0.5000 0.5000 0.3084
W 0.5000 0.5000 0.7751

Values from the calculation:
- DFT total energy: -6.16 eV/atom
- SG: Cmm2, No. 35
- Magnetization: 0.0 μB per cell


No. 3
A relaxed BaPrAs crystal, computed with GGA-PBE.

Cell: 9.3962 9.3962 9.3962 Å, 150.42 150.42 42.32°
Element x y z (fractional)
Ba 0.1813 0.1813 0.0000
Ba 0.8187 0.8187 0.0000
Pr 0.0000 0.5000 0.5000
Pr 0.5000 0.0000 0.5000
As 0.3781 0.3781 0.0000
As 0.6219 0.6219 0.0000

Values from the calculation:
- DFT total energy: -4.67 eV/atom
- SG: I4/mmm, No. 139
- Magnetization: 0.0 μB per cell


No. 4
A relaxed ReTc2GeI crystal, computed with GGA-PBE.

Cell: 4.7708 4.7708 5.4188 Å, 90.00 90.00 90.00°
Element x y z (fractional)
Re 0.0000 0.0000 0.0000
Tc 0.0000 0.5000 0.0000
Tc 0.5000 0.0000 0.0000
Ge 0.5000 0.5000 0.5000
I 0.0000 0.0000 0.5000

Values from the calculation:
- DFT total energy: -6.12 eV/atom
- SG: P4/mmm, No. 123
- Raw formation energy: 1.750 eV/atom
- Magnetization: 2.7 μB per cell


No. 5
A relaxed V3Co2Pt3 crystal, computed with GGA-PBE.

Cell: 3.7484 3.8172 7.4582 Å, 90.00 90.00 90.00°
Element x y z (fractional)
V 0.0000 0.0000 0.0000
V 0.5000 0.0000 0.2430
V 0.5000 0.0000 0.7570
Co 0.0000 0.5000 0.2473
Co 0.0000 0.5000 0.7527
Pt 0.0000 0.0000 0.5000
Pt 0.5000 0.5000 0.0000
Pt 0.5000 0.5000 0.5000

Values from the calculation:
- DFT total energy: -7.83 eV/atom
- SG: Pmmm, No. 47
- Magnetization: 0.0 μB per cell


No. 6
A relaxed CoPtIN2 crystal, computed with GGA-PBE.

Cell: 3.7669 3.7669 8.5388 Å, 90.00 90.00 90.00°
Element x y z (fractional)
Co 0.0000 0.0000 0.0000
Pt 0.5000 0.5000 0.5000
I 0.5000 0.5000 0.0000
N 0.0000 0.5000 0.5000
N 0.5000 0.0000 0.5000

Values from the calculation:
- DFT total energy: -4.96 eV/atom
- SG: P4/mmm, No. 123
- Raw formation energy: 1.309 eV/atom
- Magnetization: 2.0 μB per cell